[1]
Density functional theory data (PBE) for an optimized crystal structure of ScNiAs.

Computed properties:
N(E_F)   0.201 states/eV per atom
E   -6.603 eV/atom

Cell: 6.458 3.884 11.062 Å, 90.00 90.02 90.00°
Fractional positions:
Sc (0.021, 0.250, 0.375)
Sc (0.164, 0.250, 0.077)
Sc (0.478, 0.750, 0.704)
Sc (0.522, 0.250, 0.296)
Sc (0.836, 0.750, 0.923)
Sc (0.979, 0.750, 0.625)
Ni (0.143, 0.250, 0.793)
Ni (0.358, 0.750, 0.459)
Ni (0.496, 0.750, 0.089)
Ni (0.504, 0.250, 0.911)
Ni (0.642, 0.250, 0.541)
Ni (0.857, 0.750, 0.207)
As (0.232, 0.750, 0.249)
As (0.261, 0.750, 0.911)
As (0.262, 0.250, 0.578)
As (0.738, 0.750, 0.422)
As (0.739, 0.250, 0.089)
As (0.768, 0.250, 0.751)


[2]
Density functional theory data (PBE) for an optimized crystal structure of Pa3Ga2Pd.

Computed properties:
N(E_F)   1.781 states/eV per atom
E   -6.813 eV/atom

Cell: 8.294 8.294 8.294 Å, 136.96 62.76 136.63°
Fractional positions:
Pa (0.158, 0.208, 0.366)
Pa (0.250, 0.250, 0.000)
Pa (0.342, 0.708, 0.049)
Pa (0.658, 0.292, 0.951)
Pa (0.750, 0.750, 0.000)
Pa (0.842, 0.792, 0.634)
Ga (0.132, 0.706, 0.838)
Ga (0.368, 0.206, 0.573)
Ga (0.632, 0.794, 0.427)
Ga (0.868, 0.294, 0.162)
Pd (0.250, 0.750, 0.500)
Pd (0.750, 0.250, 0.500)


[3]
Density functional theory data (PBE) for an optimized crystal structure of TaReP2Cl.

Computed properties:
Offset from the most stable computed form   0.0 meV per atom
Formation energy without anion corrections   1099 meV/atom
N(E_F)   0.531 states/eV per atom
E   -6.295 eV/atom

Cell: 4.884 4.884 4.677 Å, 90.00 90.00 90.00°
Fractional positions:
Ta (0.000, 0.000, 0.000)
Re (0.500, 0.500, 0.500)
P (0.000, 0.500, 0.000)
P (0.500, 0.000, 0.000)
Cl (0.000, 0.000, 0.500)


[4]
Density functional theory data (PBE) for an optimized crystal structure of Cs2TlIrRu.

Computed properties:
N(E_F)   1.321 states/eV per atom
E   -3.061 eV/atom

Cell: 6.344 6.344 5.294 Å, 90.00 90.00 90.00°
Fractional positions:
Cs (0.000, 0.500, 0.000)
Cs (0.500, 0.000, 0.000)
Tl (0.000, 0.000, 0.500)
Ir (0.000, 0.000, 0.000)
Ru (0.500, 0.500, 0.500)


[5]
Density functional theory data (PBE) for an optimized crystal structure of Ho5Bi4Sb.

Computed properties:
Formation energy without anion corrections   -891 meV/atom
N(E_F)   0.200 states/eV per atom
E   -5.145 eV/atom

Cell: 11.750 11.750 11.750 Å, 158.23 149.02 38.19°
Fractional positions:
Ho (0.000, 0.000, 0.000)
Ho (0.201, 0.201, 0.000)
Ho (0.403, 0.403, 0.000)
Ho (0.597, 0.597, 0.000)
Ho (0.799, 0.799, 0.000)
Bi (0.100, 0.600, 0.500)
Bi (0.301, 0.801, 0.500)
Bi (0.699, 0.199, 0.500)
Bi (0.900, 0.400, 0.500)
Sb (0.500, 0.000, 0.500)


[6]
Density functional theory data (PBE) for an optimized crystal structure of Ti6Zn2Pt.

Computed properties:
N(E_F)   1.574 states/eV per atom
E   -6.272 eV/atom

Cell: 8.078 8.078 8.078 Å, 160.62 123.04 60.76°
Fractional positions:
Ti (0.014, 0.831, 0.183)
Ti (0.315, 0.000, 0.315)
Ti (0.352, 0.169, 0.183)
Ti (0.648, 0.831, 0.817)
Ti (0.685, 0.000, 0.685)
Ti (0.986, 0.169, 0.817)
Zn (0.348, 0.348, 0.000)
Zn (0.652, 0.652, 0.000)
Pt (0.000, 0.500, 0.500)


[7]
Density functional theory data (PBE) for an optimized crystal structure of Ba3Te2O9.

Computed properties:
Offset from the most stable computed form   4.5 meV per atom
Formation energy without anion corrections   -1932 meV/atom
N(E_F)   0.000 states/eV per atom
E   -5.981 eV/atom

Cell: 7.700 7.700 7.700 Å, 83.94 83.94 83.94°
Fractional positions:
Ba (0.088, 0.750, 0.412)
Ba (0.250, 0.588, 0.912)
Ba (0.412, 0.088, 0.750)
Ba (0.588, 0.912, 0.250)
Ba (0.750, 0.412, 0.088)
Ba (0.912, 0.250, 0.588)
Te (0.150, 0.150, 0.150)
Te (0.350, 0.350, 0.350)
Te (0.650, 0.650, 0.650)
Te (0.850, 0.850, 0.850)
O (0.070, 0.907, 0.739)
O (0.093, 0.261, 0.930)
O (0.107, 0.393, 0.250)
O (0.239, 0.407, 0.570)
O (0.250, 0.107, 0.393)
O (0.261, 0.930, 0.093)
O (0.393, 0.250, 0.107)
O (0.407, 0.570, 0.239)
O (0.430, 0.761, 0.593)
O (0.570, 0.239, 0.407)
O (0.593, 0.430, 0.761)
O (0.607, 0.750, 0.893)
O (0.739, 0.070, 0.907)
O (0.750, 0.893, 0.607)
O (0.761, 0.593, 0.430)
O (0.893, 0.607, 0.750)
O (0.907, 0.739, 0.070)
O (0.930, 0.093, 0.261)


[8]
Density functional theory data (PBE) for an optimized crystal structure of Be3HPd.

Computed properties:
Offset from the most stable computed form   0.0 meV per atom
N(E_F)   0.222 states/eV per atom
E   -4.103 eV/atom

Cell: 3.461 3.461 3.461 Å, 90.00 90.00 90.00°
Fractional positions:
Be (0.000, 0.000, 0.500)
Be (0.000, 0.500, 0.000)
Be (0.500, 0.000, 0.000)
H (0.000, 0.000, 0.000)
Pd (0.500, 0.500, 0.500)


Number 1 is which compound? ScNiAs